Ca2AsP, optimized geometry, DFT PBE-GGA; crystal system = cubic; uncorrected energy = -3.710 eV per atom; size of the total moment = 0.00 μB per formula unit; energy relative to the elements = -195 meV/atom; energy relative to the lowest polymorph listed for this composition = 0.8792 eV/atom; space-group type = No. 216
1.0
0.0000 3.5600 3.5600
3.5600 0.0000 3.5600
3.5600 3.5600 0.0000
Ca As P
2 1 1
direct
0.0000 0.0000 0.0000
0.2500 0.2500 0.2500
0.5000 0.5000 0.5000
0.7500 0.7500 0.7500